## P
Below is crystalline MnAlMo at its relaxed geometry, with properties calculated at the GGA-PBE level.

```
MnAlMo
1.0
-5.746 -0.555 -2.225
-3.336 -1.811 -4.885
4.429 -0.571 4.282
Mo Mn Al
1 1 1
Direct
0.669 0.669 0.000
0.340 0.340 0.000
0.991 0.991 0.000
```

Summary:
- Total moment: 2.18 μB per formula unit

***

## Q
Below is crystalline MnAlMo at its relaxed geometry, with properties calculated at the GGA-PBE level.

```
MnAlMo
1.0
-1.172 -3.877 1.155
2.542 0.531 -3.316
2.158 -0.168 1.627
Mo Mn Al
1 1 1
Direct
0.667 0.333 0.605
0.333 0.667 0.356
0.000 0.000 0.039
```

Summary:
- Total moment: 1.03 μB per formula unit

***

## R
Below is crystalline MnAlMo at its relaxed geometry, with properties calculated at the GGA-PBE level.

```
MnAlMo
1.0
4.074 0.000 0.000
2.037 3.529 0.000
2.037 1.176 3.327
Mo Mn Al
1 1 1
Direct
0.000 0.000 0.000
0.750 0.750 0.750
0.500 0.500 0.500
```

Summary:
- Total moment: 1.23 μB per formula unit

***

Q ends up most stable, edging out the next structure by 103 meV per atom.

***

## P
Below is crystalline MnAlMo at its relaxed geometry, with properties calculated at the GGA-PBE level.

```
MnAlMo
1.0
4.672 -0.034 0.016
2.282 4.076 -0.016
-3.054 -2.749 2.223
Mo Mn Al
1 1 1
Direct
0.334 0.334 0.000
0.663 0.663 0.000
0.004 0.004 0.000
```

Summary:
- Total moment: 1.75 μB per formula unit

***

## Q
Below is crystalline MnAlMo at its relaxed geometry, with properties calculated at the GGA-PBE level.

```
MnAlMo
1.0
5.055 -0.006 0.000
3.300 3.829 0.000
-4.178 -1.912 2.109
Mo Mn Al
1 1 1
Direct
0.681 0.681 0.000
0.328 0.328 0.000
0.991 0.991 0.000
```

Summary:
- Total moment: 0.00 μB per formula unit

***

Q ends up most stable, edging out the next structure by 180 meV per atom.

***

## P
Below is crystalline MnAl3N at its relaxed geometry, with properties calculated at the GGA-PBE level.

```
MnAl3N
1.0
-1.158 3.730 2.472
-3.982 0.307 -2.328
-2.042 -2.713 3.136
Mn Al N
1 3 1
Direct
0.000 0.000 0.000
0.000 0.500 0.000
0.000 0.000 0.500
0.500 0.000 0.000
0.500 0.500 0.500
```

Summary:
- Total moment: 3.94 μB per formula unit

***

## Q
Below is crystalline MnAl3N at its relaxed geometry, with properties calculated at the GGA-PBE level.

```
MnAl3N
1.0
-0.552 -3.309 2.115
-0.592 -2.041 -3.348
3.882 -0.781 -0.210
Mn Al N
1 3 1
Direct
0.500 0.500 0.500
0.000 0.500 0.000
0.000 0.000 0.500
0.500 0.000 0.000
0.000 0.000 0.000
```

Summary:
- Total moment: 1.81 μB per formula unit

***

Q ends up most stable, edging out the next structure by 1258 meV per atom.

***

## P
Below is crystalline MnAlSN2 at its relaxed geometry, with properties calculated at the GGA-PBE level.

```
MnAlSN2
1.0
-0.935 1.613 3.058
2.988 -1.218 1.556
2.423 4.117 -1.431
S Mn Al N
1 1 1 2
Direct
0.000 0.000 0.500
0.000 0.000 0.000
0.500 0.500 0.500
0.000 0.500 0.000
0.500 0.000 0.000
```

Summary:
- Total moment: 0.00 μB per formula unit

***

## Q
Below is crystalline MnAlSN2 at its relaxed geometry, with properties calculated at the GGA-PBE level.

```
MnAlSN2
1.0
3.634 0.000 0.000
0.000 3.634 0.000
0.000 0.000 5.420
S Mn Al N
1 1 1 2
Direct
0.000 0.000 0.500
0.500 0.500 0.500
0.000 0.000 0.000
0.000 0.500 0.000
0.500 0.000 0.000
```

Summary:
- Total moment: 5.59 μB per formula unit

***

P ends up most stable, edging out the next structure by 160 meV per atom.

***

## P
Below is crystalline MnAlTeN2 at its relaxed geometry, with properties calculated at the GGA-PBE level.

```
MnAlTeN2
1.0
-1.288 3.478 -0.439
-3.444 -1.343 -0.538
-0.960 0.320 5.347
Te Al Mn N
1 1 1 2
Direct
0.000 0.000 0.500
0.500 0.500 0.500
0.000 0.000 0.000
0.000 0.500 0.000
0.500 0.000 0.000
```

Summary:
- Total moment: 0.01 μB per formula unit

***

## Q
Below is crystalline MnAlTeN2 at its relaxed geometry, with properties calculated at the GGA-PBE level.

```
MnAlTeN2
1.0
3.675 0.000 0.000
0.000 3.675 0.000
0.000 0.000 6.040
Te Al Mn N
1 1 1 2
Direct
0.000 0.000 0.500
0.000 0.000 0.000
0.500 0.500 0.500
0.000 0.500 0.000
0.500 0.000 0.000
```

Summary:
- Total moment: 0.51 μB per formula unit

***

P ends up most stable, edging out the next structure by 511 meV per atom.

***

## P
Below is crystalline MnNb3Al at its relaxed geometry, with properties calculated at the GGA-PBE level.

```
MnNb3Al
1.0
-2.156 3.789 1.447
-4.045 -2.127 -0.459
0.292 -1.490 4.335
Nb Mn Al
3 1 1
Direct
0.000 0.500 0.000
0.000 0.000 0.500
0.500 0.000 0.000
0.000 0.000 0.000
0.500 0.500 0.500
```

Summary:
- Total moment: 0.00 μB per formula unit

***

## Q
Below is crystalline MnNb3Al at its relaxed geometry, with properties calculated at the GGA-PBE level.

```
MnNb3Al
1.0
4.662 0.000 0.000
0.000 4.662 0.000
0.000 0.000 4.662
Nb Mn Al
3 1 1
Direct
0.000 0.500 0.000
0.000 0.000 0.500
0.500 0.000 0.000
0.500 0.500 0.500
0.000 0.000 0.000
```

Summary:
- Total moment: 0.68 μB per formula unit

***

P ends up most stable, edging out the next structure by 1004 meV per atom.

***

## P
Below is crystalline Mn3NbAl at its relaxed geometry, with properties calculated at the GGA-PBE level.

```
Mn3NbAl
1.0
4.638 0.000 0.000
0.000 4.638 0.000
0.000 0.000 4.638
Nb Mn Al
1 3 1
Direct
0.000 0.000 0.000
0.000 0.500 0.000
0.000 0.000 0.500
0.500 0.000 0.000
0.500 0.500 0.500
```

Summary:
- Total moment: 7.76 μB per formula unit

***

## Q
Below is crystalline Mn3NbAl at its relaxed geometry, with properties calculated at the GGA-PBE level.

```
Mn3NbAl
1.0
4.310 0.000 0.000
0.000 4.310 0.000
0.000 0.000 4.310
Nb Mn Al
1 3 1
Direct
0.500 0.500 0.500
0.000 0.500 0.000
0.000 0.000 0.500
0.500 0.000 0.000
0.000 0.000 0.000
```

Summary:
- Total moment: 5.03 μB per formula unit

***

Q ends up most stable, edging out the next structure by 296 meV per atom.

***

## P
Below is crystalline Mn2NbAl2 at its relaxed geometry, with properties calculated at the GGA-PBE level.

```
Mn2NbAl2
1.0
7.212 0.000 0.000
0.000 7.212 0.000
0.000 0.000 2.784
Nb Mn Al
2 4 4
Direct
0.000 0.000 0.000
0.500 0.500 0.000
0.169 0.669 0.500
0.669 0.831 0.500
0.831 0.331 0.500
0.331 0.169 0.500
0.373 0.873 0.000
0.873 0.627 0.000
0.627 0.127 0.000
0.127 0.373 0.000
```

Summary:
- Total moment: 4.18 μB per formula unit

***

## Q
Below is crystalline Mn2NbAl2 at its relaxed geometry, with properties calculated at the GGA-PBE level.

```
Mn2NbAl2
1.0
-3.902 4.560 4.153
-2.042 -5.593 4.221
2.184 0.411 1.601
Nb Mn Al
2 4 4
Direct
0.000 0.000 0.000
0.500 0.500 0.000
0.379 0.879 0.000
0.879 0.621 0.000
0.621 0.121 0.000
0.121 0.379 0.000
0.174 0.674 0.500
0.674 0.826 0.500
0.826 0.326 0.500
0.326 0.174 0.500
```

Summary:
- Total moment: 4.75 μB per formula unit

***

P ends up most stable, edging out the next structure by 39 meV per atom.

***

## P
Below is crystalline Mn2Al2Ni at its relaxed geometry, with properties calculated at the GGA-PBE level.

```
Mn2Al2Ni
1.0
-0.998 -2.536 2.268
3.348 -0.313 1.123
0.185 2.610 5.773
Ni Mn Al
1 2 2
Direct
0.000 0.000 0.000
0.408 0.408 0.183
0.592 0.592 0.817
0.750 0.250 0.500
0.250 0.750 0.500
```

Summary:
- Total moment: 5.32 μB per formula unit

***

## Q
Below is crystalline Mn2Al2Ni at its relaxed geometry, with properties calculated at the GGA-PBE level.

```
Mn2Al2Ni
1.0
6.138 0.000 0.000
0.000 6.138 0.000
0.000 0.000 3.637
Ni Mn Al
2 4 4
Direct
0.000 0.000 0.000
0.500 0.500 0.000
0.156 0.656 0.500
0.656 0.844 0.500
0.844 0.344 0.500
0.344 0.156 0.500
0.353 0.853 0.000
0.853 0.647 0.000
0.647 0.147 0.000
0.147 0.353 0.000
```

Summary:
- Total moment: 5.48 μB per formula unit

***

Q ends up most stable, edging out the next structure by 497 meV per atom.